1.
# MgGa3Se

A relaxed structure of MgGa3Se (PBE-GGA, the Alexandria database).

Computed properties:
raw formation energy	0.365	eV per atom

Lattice parameters (Å, degrees): 5.111 5.111 5.111 90.00 90.00 90.00
Element x y z (fractional)
Mg: 0.000 0.000 0.000
Ga: 0.000 0.500 0.000
Ga: 0.000 0.000 0.500
Ga: 0.500 0.000 0.000
Se: 0.500 0.500 0.500

***

2.
# Sm14TmTl

A relaxed structure of Sm14TmTl (PBE-GGA, the Alexandria database).

Computed properties:
E_form	-0.020	eV per atom

Lattice parameters (Å, degrees): 7.157 7.157 10.208 90.00 90.00 90.00
Element x y z (fractional)
Sm: 0.375 0.625 0.500
Sm: 0.875 0.125 0.500
Sm: 0.875 0.626 0.000
Sm: 0.875 0.625 0.500
Sm: 0.374 0.125 0.000
Sm: 0.375 0.125 0.500
Sm: 0.625 0.875 0.754
Sm: 0.625 0.875 0.246
Sm: 0.125 0.375 0.754
Sm: 0.125 0.375 0.246
Sm: 0.125 0.875 0.753
Sm: 0.125 0.875 0.247
Sm: 0.625 0.375 0.754
Sm: 0.625 0.375 0.246
Tm: 0.375 0.625 0.000
Tl: 0.875 0.125 0.000

***

3.
# Ac4InSi

A relaxed structure of Ac4InSi (PBE-GGA, the Alexandria database).

Computed properties:
raw formation energy	-0.213	eV per atom

Lattice parameters (Å, degrees): 5.491 5.491 7.733 90.00 90.00 90.00
Element x y z (fractional)
Ac: 0.500 0.000 0.733
Ac: 0.000 0.500 0.733
Ac: 0.500 0.000 0.267
Ac: 0.000 0.500 0.267
In: 0.000 0.000 0.000
Si: 0.500 0.500 0.500

***

4.
# DyTiZnHg

A relaxed structure of DyTiZnHg (PBE-GGA, the Alexandria database).

Computed properties:
E_form	-0.150	eV per atom

Lattice parameters (Å, degrees): 4.920 4.920 4.920 60.00 60.00 60.00
Each line ends with the local moment (μB).
Element x y z (fractional)
Zn: 0.000 0.000 0.000  0.01
Ti: 0.750 0.750 0.750  1.14
Hg: 0.500 0.500 0.500  0.01
Dy: 0.250 0.250 0.250  0.18

***

5.
# BaMg2Ge

A relaxed structure of BaMg2Ge (PBE-GGA, the Alexandria database).

Computed properties:
E_form	-0.008	eV per atom

Lattice parameters (Å, degrees): 5.506 5.506 10.132 74.23 74.23 90.00
Element x y z (fractional)
Mg: 0.380 0.125 0.250
Mg: 0.370 0.625 0.250
Mg: 0.375 0.620 0.750
Mg: 0.875 0.630 0.750
Ge: 0.500 0.500 0.000
Ge: 0.250 0.750 0.500
Ba: 0.000 0.000 0.000
Ba: 0.750 0.250 0.500

***

6.
# Ce2NdBr6

A relaxed structure of Ce2NdBr6 (PBE-GGA, the Alexandria database).

Computed properties:
raw formation energy	-1.625	eV per atom

Lattice parameters (Å, degrees): 3.998 8.344 10.830 112.93 90.00 103.86
Each line ends with the local moment (μB).
Element x y z (fractional)
Ce: 0.674 0.349 0.845  1.31
Ce: 0.326 0.651 0.155  1.31
Nd: 0.000 0.000 0.500  0.09
Br: 0.319 0.639 0.874  -0.01
Br: 0.681 0.361 0.126  -0.01
Br: 0.977 0.955 0.214  0.00
Br: 0.647 0.294 0.550  0.00
Br: 0.023 0.045 0.786  0.00
Br: 0.353 0.706 0.450  0.00

***

7.
# LiBePd6

A relaxed structure of LiBePd6 (PBE-GGA, the Alexandria database).

Computed properties:
E_form	-0.114	eV per atom

Lattice parameters (Å, degrees): 5.338 5.338 5.338 108.93 108.93 108.93
Element x y z (fractional)
Li: 0.000 0.000 0.000
Be: 0.500 0.500 0.500
Pd: 0.247 0.722 0.247
Pd: 0.247 0.247 0.722
Pd: 0.753 0.278 0.753
Pd: 0.278 0.753 0.753
Pd: 0.753 0.753 0.278
Pd: 0.722 0.247 0.247

***

8.
# LiTiSn2

A relaxed structure of LiTiSn2 (PBE-GGA, the Alexandria database).

Computed properties:
E_form	-0.085	eV per atom

Lattice parameters (Å, degrees): 4.102 4.102 6.561 71.78 71.78 60.00
Element x y z (fractional)
Li: 0.495 0.495 0.516
Ti: 0.670 0.670 0.989
Sn: 0.085 0.085 0.744
Sn: 0.250 0.250 0.250

***

9.
# CdBiW2

A relaxed structure of CdBiW2 (PBE-GGA, the Alexandria database).

Computed properties:
E_form	1.222	eV per atom

Lattice parameters (Å, degrees): 4.759 4.759 4.759 60.00 60.00 60.00
Element x y z (fractional)
Bi: 0.500 0.500 0.500
W: 0.250 0.250 0.250
W: 0.750 0.750 0.750
Cd: 0.000 0.000 0.000

***

10.
# Tb2NpP3

A relaxed structure of Tb2NpP3 (PBE-GGA, the Alexandria database).

Computed properties:
E_form	-1.358	eV per atom

Lattice parameters (Å, degrees): 4.003 4.003 8.930 102.95 102.95 90.01
Each line ends with the local moment (μB).
Element x y z (fractional)
Tb: 0.102 0.104 0.210  0.02
Tb: 0.766 0.768 0.538  0.02
Np: 0.434 0.436 0.874  3.54
P: 0.934 0.936 0.874  -0.10
P: 0.270 0.271 0.545  -0.04
P: 0.599 0.600 0.203  -0.04

***

11.
# Ir2RuPt

A relaxed structure of Ir2RuPt (PBE-GGA, the Alexandria database).

Computed properties:
E_form	-0.018	eV per atom

Lattice parameters (Å, degrees): 2.737 2.737 7.817 90.00 90.00 90.00
Element x y z (fractional)
Ru: 0.500 0.500 0.750
Ir: 0.000 0.000 0.988
Ir: 0.000 0.000 0.512
Pt: 0.500 0.500 0.250

***

12.
# CuAsP2

A relaxed structure of CuAsP2 (PBE-GGA, the Alexandria database).

Computed properties:
E_form	0.119	eV per atom

Lattice parameters (Å, degrees): 3.287 3.287 6.189 90.00 90.00 90.00
Element x y z (fractional)
As: 0.000 0.000 0.699
Cu: 0.500 0.500 0.544
P: 0.000 0.000 0.082
P: 0.500 0.500 0.175

***

13.
# HoTlHgPb

A relaxed structure of HoTlHgPb (PBE-GGA, the Alexandria database).

Computed properties:
E_form	-0.154	eV per atom

Lattice parameters (Å, degrees): 5.402 5.402 5.402 60.00 60.00 60.00
Element x y z (fractional)
Pb: 0.750 0.750 0.750
Tl: 0.000 0.000 0.000
Hg: 0.500 0.500 0.500
Ho: 0.250 0.250 0.250

***

14.
# LiHfC

A relaxed structure of LiHfC (PBE-GGA, the Alexandria database).

Computed properties:
E_form	-0.453	eV per atom

Lattice parameters (Å, degrees): 3.257 3.257 8.438 90.00 90.00 90.00
Element x y z (fractional)
Li: 0.000 0.500 0.387
Li: 0.500 0.000 0.613
Hf: 0.000 0.500 0.869
Hf: 0.500 0.000 0.131
C: 0.000 0.500 0.137
C: 0.500 0.000 0.863

***

15.
# RbHgIF2

A relaxed structure of RbHgIF2 (PBE-GGA, the Alexandria database).

Computed properties:
raw formation energy	-1.600	eV per atom

Lattice parameters (Å, degrees): 5.064 7.402 8.330 88.91 90.00 90.00
Element x y z (fractional)
Rb: 0.750 0.174 0.617
Rb: 0.250 0.826 0.383
Hg: 0.250 0.852 0.884
Hg: 0.750 0.148 0.116
I: 0.750 0.480 0.228
I: 0.250 0.520 0.772
F: 0.750 0.964 0.914
F: 0.250 0.036 0.086
F: 0.250 0.043 0.658
F: 0.750 0.957 0.342

***

16.
# KAgPt2

A relaxed structure of KAgPt2 (PBE-GGA, the Alexandria database).

Computed properties:
E_form	0.203	eV per atom

Lattice parameters (Å, degrees): 5.918 5.918 2.807 77.10 77.10 121.41
Element x y z (fractional)
Ag: 0.500 0.000 0.500
K: 0.000 0.500 0.500
Pt: 0.000 0.000 0.000
Pt: 0.500 0.500 0.000

***

17.
# CdFe2Cu2

A relaxed structure of CdFe2Cu2 (PBE-GGA, the Alexandria database).

Computed properties:
E_form	0.306	eV per atom

Lattice parameters (Å, degrees): 7.308 7.308 2.637 90.00 90.00 90.00
Each line ends with the local moment (μB).
Element x y z (fractional)
Fe: 0.386 0.886 0.000  2.62
Fe: 0.886 0.614 0.000  2.62
Fe: 0.614 0.114 0.000  2.62
Fe: 0.114 0.386 0.000  2.62
Cu: 0.177 0.677 0.500  0.13
Cu: 0.677 0.823 0.500  0.12
Cu: 0.823 0.323 0.500  0.13
Cu: 0.323 0.177 0.500  0.12
Cd: 0.000 0.000 0.000  0.00
Cd: 0.500 0.500 0.000  0.00

***

18.
# CsNpZnI6

A relaxed structure of CsNpZnI6 (PBE-GGA, the Alexandria database).

Computed properties:
raw formation energy	-0.871	eV per atom

Lattice parameters (Å, degrees): 7.924 7.844 8.558 90.10 90.19 59.65
Each line ends with the local moment (μB).
Element x y z (fractional)
Cs: 0.999 0.002 0.000  0.00
Np: 0.667 0.667 0.500  -3.97
Zn: 0.332 0.335 0.500  -0.03
I: 0.025 0.363 0.303  0.02
I: 0.365 0.016 0.702  0.02
I: 0.611 0.363 0.697  0.02
I: 0.018 0.618 0.698  0.02
I: 0.364 0.618 0.302  0.02
I: 0.619 0.016 0.298  0.02

***

19.
# K3Te2Pt

A relaxed structure of K3Te2Pt (PBE-GGA, the Alexandria database).

Computed properties:
raw formation energy	-0.625	eV per atom

Lattice parameters (Å, degrees): 8.649 7.927 8.909 116.42 119.04 90.00
Element x y z (fractional)
K: 0.343 0.682 0.364
K: 0.657 0.318 0.636
K: 0.979 0.818 0.636
K: 0.021 0.182 0.364
K: 0.500 0.750 0.000
K: 0.500 0.250 0.000
Te: 0.265 0.073 0.147
Te: 0.735 0.927 0.853
Te: 0.118 0.427 0.853
Te: 0.882 0.573 0.147
Pt: 0.000 0.250 0.000
Pt: 0.000 0.750 0.000

***

20.
# Pr3Er4Cd

A relaxed structure of Pr3Er4Cd (PBE-GGA, the Alexandria database).

Computed properties:
E_form	-0.046	eV per atom

Lattice parameters (Å, degrees): 6.222 7.138 11.316 90.00 90.00 90.00
Element x y z (fractional)
Pr: 0.622 0.630 0.000
Pr: 0.982 0.618 0.233
Pr: 0.482 0.382 0.267
Pr: 0.122 0.370 0.500
Pr: 0.482 0.382 0.733
Pr: 0.982 0.618 0.767
Er: 0.162 0.895 0.000
Er: 0.645 0.129 0.000
Er: 0.985 0.122 0.242
Er: 0.485 0.878 0.258
Er: 0.145 0.871 0.500
Er: 0.662 0.105 0.500
Er: 0.485 0.878 0.742
Er: 0.985 0.122 0.758
Cd: 0.153 0.355 0.000
Cd: 0.653 0.645 0.500

***

Record-wise N(E_F) values, in states/eV per atom: 0.44 1.33 1.21 0.79 0.60 1.53 1.03 0.35 0.68 1.49 0.62 0.55 0.48 0.55 0.00 0.46 0.87 0.46 0.51 1.21